Material: BeAgP2
Method: DFT, PBE
State: optimized geometry

Lattice parameters (Å, degrees): 3.465 4.682 7.291 90.00 90.00 90.00
Sites, in units of the cell vectors:
Be 0.000 0.000 0.000
Be 0.500 0.500 0.000
Ag 0.000 0.000 0.500
Ag 0.500 0.500 0.500
P 0.000 0.500 0.191
P 0.000 0.500 0.809
P 0.500 0.000 0.191
P 0.500 0.000 0.809

Summary:
E_form	382.5	meV/atom

Material: BeAgP2
Method: DFT, PBE
State: optimized geometry

Lattice parameters (Å, degrees): 3.846 3.242 5.370 90.00 104.09 90.00
Sites, in units of the cell vectors:
Be 0.000 0.000 0.000
Ag 0.500 0.000 0.500
P 0.276 0.500 0.832
P 0.724 0.500 0.168

Summary:
E_form	213.9	meV/atom

Material: Be3AgP
Method: DFT, PBE
State: optimized geometry

Lattice parameters (Å, degrees): 4.126 4.126 4.126 90.00 90.00 90.00
Sites, in units of the cell vectors:
Be 0.000 0.000 0.500
Be 0.000 0.500 0.000
Be 0.500 0.000 0.000
Ag 0.500 0.500 0.500
P 0.000 0.000 0.000

Summary:
E_form	651.1	meV/atom
energy above the lowest structure with this stoichiometry	0.000	eV/atom

Material: BeAgP2
Method: DFT, PBE
State: optimized geometry

Lattice parameters (Å, degrees): 6.172 6.172 6.172 90.00 90.00 90.00
Sites, in units of the cell vectors:
Be 0.000 0.000 0.000
Be 0.000 0.500 0.500
Be 0.500 0.000 0.500
Be 0.500 0.500 0.000
Ag 0.250 0.250 0.750
Ag 0.250 0.750 0.250
Ag 0.750 0.250 0.250
Ag 0.750 0.750 0.750
P 0.000 0.000 0.500
P 0.000 0.500 0.000
P 0.250 0.250 0.250
P 0.250 0.750 0.750
P 0.500 0.000 0.000
P 0.500 0.500 0.500
P 0.750 0.250 0.750
P 0.750 0.750 0.250

Summary:
E_form	724.5	meV/atom

Material: BeAg2P
Method: DFT, PBE
State: optimized geometry

Lattice parameters (Å, degrees): 2.903 2.903 24.870 90.00 90.00 120.00
Sites, in units of the cell vectors:
Be 0.000 0.000 0.000
Be 0.333 0.667 0.667
Be 0.667 0.333 0.333
Ag 0.000 0.000 0.258
Ag 0.000 0.000 0.742
Ag 0.333 0.667 0.409
Ag 0.333 0.667 0.924
Ag 0.667 0.333 0.076
Ag 0.667 0.333 0.591
P 0.000 0.000 0.500
P 0.333 0.667 0.167
P 0.667 0.333 0.833

Summary:
E_form	373.6	meV/atom
energy above the lowest structure with this stoichiometry	0.195	eV/atom

Material: BeAg3P
Method: DFT, PBE
State: optimized geometry

Lattice parameters (Å, degrees): 4.436 4.436 4.436 90.00 90.00 90.00
Sites, in units of the cell vectors:
Be 0.000 0.000 0.000
Ag 0.000 0.000 0.500
Ag 0.000 0.500 0.000
Ag 0.500 0.000 0.000
P 0.500 0.500 0.500

Summary:
E_form	614.3	meV/atom
energy above the lowest structure with this stoichiometry	0.000	eV/atom

Material: BeAgP2
Method: DFT, PBE
State: optimized geometry

Lattice parameters (Å, degrees): 9.635 3.247 4.595 90.00 108.68 90.00
Sites, in units of the cell vectors:
Be 0.000 0.000 0.000
Be 0.500 0.500 0.000
Ag 0.000 0.500 0.500
Ag 0.500 0.000 0.500
P 0.237 0.000 0.154
P 0.263 0.500 0.846
P 0.737 0.500 0.154
P 0.763 0.000 0.846

Summary:
E_form	258.7	meV/atom

Material: BeAgP
Method: DFT, PBE
State: optimized geometry

Lattice parameters (Å, degrees): 3.636 8.671 6.336 90.00 90.00 90.00
Sites, in units of the cell vectors:
Be 0.000 0.239 0.000
Be 0.000 0.761 0.500
Be 0.500 0.261 0.500
Be 0.500 0.739 0.000
Ag 0.000 0.487 0.388
Ag 0.000 0.513 0.888
Ag 0.500 0.013 0.888
Ag 0.500 0.987 0.388
P 0.000 0.204 0.333
P 0.000 0.796 0.833
P 0.500 0.296 0.833
P 0.500 0.704 0.333

Summary:
E_form	-38.3	meV/atom